Record 1
Computed, not measured: crystalline LiTa2Sb at its relaxed geometry at the PBE level of DFT.

DFT total energy (Ry per atom): -0.51316
Formation energy from raw total energies (meV per atom): 453.5
ρ (g cm⁻³): 10.4
M_tot (Bohr magnetons per cell): 0.00
SG: I-42d, No. 122

Cell and atoms, written as POSCAR:
```
LiTa2Sb
1.0
-1.9525 1.9525 10.2818
1.9525 -1.9525 10.2818
1.9525 1.9525 -10.2818
Li Ta Sb
2 4 2
direct
0.0000 0.0000 0.0000
0.7500 0.2500 0.5000
0.1310 0.6250 0.0060
0.3750 0.3810 0.5060
0.6190 0.1250 0.9940
0.8750 0.8690 0.4940
0.2500 0.7500 0.5000
0.5000 0.5000 0.0000
```



Record 2
Computed, not measured: crystalline DyMgPd at its relaxed geometry at the PBE level of DFT.

DFT total energy (Ry per atom): -0.31825
ρ (g cm⁻³): 6.6
M_tot (Bohr magnetons per cell): 0.00
SG: F-43m, No. 216

Cell and atoms, written as POSCAR:
```
DyMgPd
1.0
0.0000 3.3257 3.3257
3.3257 0.0000 3.3257
3.3257 3.3257 0.0000
Dy Mg Pd
1 1 1
direct
0.0000 0.0000 0.0000
0.5000 0.5000 0.5000
0.2500 0.2500 0.2500
```



Record 3
Computed, not measured: crystalline SbW3 at its relaxed geometry at the PBE level of DFT.

Polymorph energy (0 for the lowest one) (eV/f.u.): 0.50
DFT total energy (Ry per atom): -0.74533
Formation energy from raw total energies (meV per atom): 604.7
ρ (g cm⁻³): 16.3
M_tot (Bohr magnetons per cell): 0.00
SG: Fm-3m, No. 225

Cell and atoms, written as POSCAR:
```
SbW3
1.0
0.0000 3.2487 3.2487
3.2487 0.0000 3.2487
3.2487 3.2487 0.0000
Sb W
1 3
direct
0.0000 0.0000 0.0000
0.2500 0.2500 0.2500
0.5000 0.5000 0.5000
0.7500 0.7500 0.7500
```



Q: Which of these has the highest DFT total energy?
A: DyMgPd



Q: M_tot of number 1 (LiTa2Sb)?
A: 0.00 Bohr magnetons per cell